[1]
A geometry-optimized Sc2TlCd2 structure. Source: Alexandria, functional PBE.

Unit cell a=7.3211 b=7.3211 c=7.3211 alpha=144.39 beta=144.39 gamma=51.24
Positions (direct):
1 Sc 0.2500 0.7500 0.5000
2 Sc 0.7500 0.2500 0.5000
3 Tl 0.0000 0.0000 0.0000
4 Cd 0.3976 0.3976 0.0000
5 Cd 0.6024 0.6024 0.0000

Calculated values
calculated formation energy: 0.65 eV per formula unit
magnetization: 1.03 μB/cell
energy above the lowest structure with this stoichiometry: 300 meV per atom
mass density: 6.514 g/cm3

---

[2]
A geometry-optimized Sc2Tl4Cd structure. Source: Alexandria, functional PBE.

Unit cell a=6.2204 b=6.2204 c=6.2204 alpha=110.50 beta=110.50 gamma=107.43
Positions (direct):
1 Sc 0.0000 0.5000 0.5000
2 Sc 0.5000 0.0000 0.5000
3 Tl 0.0000 0.0000 0.5000
4 Tl 0.0000 0.5000 0.0000
5 Tl 0.5000 0.0000 0.0000
6 Tl 0.5000 0.5000 0.5000
7 Cd 0.0000 0.0000 0.0000

Calculated values
calculated formation energy: -0.64 eV per formula unit
magnetization: 0.00 μB/cell
mass density: 9.149 g/cm3